No. 1
The following is a DFT calculation (PBE) of a geometry-optimized DyTc2O8 structure.

Computed properties:
* crystal system: cubic
* E above lowest polymorph: 0.000 eV per formula unit

Cell lengths 6.653, 6.653, 6.653 Å; angles 120.01, 120.01, 89.98 degrees
Fractional coordinates of all 11 atoms:
O 0.357 0.643 0.715
O 0.357 0.643 0.285
O 0.072 0.357 0.715
O 0.357 0.072 0.715
O 0.643 0.357 0.715
O 0.643 0.357 0.285
O 0.643 0.928 0.285
O 0.928 0.643 0.285
Tc 0.250 0.750 0.500
Tc 0.750 0.250 0.500
Dy 0.500 0.500 0.000

No. 2
The following is a DFT calculation (PBE) of a geometry-optimized DyTc2O4 structure.

Computed properties:
* crystal system: cubic
* uncorrected energy: -7.964 eV per atom

Cell lengths 6.332, 6.332, 6.332 Å; angles 119.99, 90.02, 119.99 degrees
Fractional coordinates of all 14 atoms:
O 0.613 0.775 0.387
O 0.137 0.725 0.863
O 0.588 0.725 0.863
O 0.137 0.275 0.863
O 0.137 0.275 0.412
O 0.613 0.225 0.387
O 0.613 0.225 0.838
O 0.162 0.775 0.387
Tc 0.375 0.750 0.625
Tc 0.375 0.750 0.125
Tc 0.875 0.250 0.625
Tc 0.375 0.250 0.625
Dy 0.000 0.000 0.000
Dy 0.750 0.500 0.250

No. 3
The following is a DFT calculation (PBE) of a geometry-optimized DyTc2O8 structure.

Computed properties:
* crystal system: trigonal
* E above lowest polymorph: 0.286 eV per formula unit

Cell lengths 5.328, 6.083, 6.083 Å; angles 60.01, 90.00, 90.00 degrees
Fractional coordinates of all 11 atoms:
Dy 0.000 0.000 0.000
O 0.234 0.812 0.350
O 0.766 0.650 0.163
O 0.234 0.837 0.812
O 0.766 0.188 0.650
O 0.234 0.350 0.837
O 0.336 0.333 0.333
O 0.664 0.667 0.667
O 0.766 0.163 0.188
Tc 0.659 0.333 0.333
Tc 0.341 0.667 0.667

No. 4
The following is a DFT calculation (PBE) of a geometry-optimized Dy2TeO2 structure.

Computed properties:
* crystal system: monoclinic
* uncorrected energy: -7.421 eV per atom

Cell lengths 6.778, 6.778, 3.909 Å; angles 106.69, 106.69, 33.50 degrees
Fractional coordinates of all 5 atoms:
Dy 0.338 0.338 0.359
Dy 0.662 0.662 0.683
O 0.250 0.250 0.771
O 0.750 0.750 0.271
Te 0.000 0.000 0.016

No. 5
The following is a DFT calculation (PBE) of a geometry-optimized Dy3TeO6 structure.

Computed properties:
* crystal system: monoclinic
* uncorrected energy: -7.289 eV per atom

Cell lengths 5.886, 5.858, 10.015 Å; angles 90.00, 124.01, 90.00 degrees
Fractional coordinates of all 20 atoms:
Te 0.500 0.000 0.000
Te 0.500 0.500 0.500
O 0.156 0.316 0.874
O 0.402 0.941 0.750
O 0.875 0.344 0.535
O 0.844 0.816 0.626
O 0.402 0.559 0.250
O 0.125 0.656 0.465
O 0.156 0.184 0.374
O 0.125 0.844 0.965
O 0.844 0.684 0.126
O 0.875 0.156 0.035
O 0.598 0.059 0.250
O 0.598 0.441 0.750
Dy 0.784 0.438 0.273
Dy 0.216 0.938 0.227
Dy 0.784 0.062 0.773
Dy 0.216 0.562 0.727
Dy 0.000 0.000 0.500
Dy 0.000 0.500 0.000

No. 6
The following is a DFT calculation (PBE) of a geometry-optimized Dy2TeO2 structure.

Computed properties:
* crystal system: tetragonal
* uncorrected energy: -7.422 eV per atom

Cell lengths 6.785, 6.785, 6.785 Å; angles 146.49, 146.49, 48.13 degrees
Fractional coordinates of all 5 atoms:
O 0.750 0.250 0.500
O 0.250 0.750 0.500
Dy 0.338 0.338 0.000
Dy 0.662 0.662 0.000
Te 0.000 0.000 0.000

No. 7
The following is a DFT calculation (PBE) of a geometry-optimized Dy2Te2O5 structure.

Computed properties:
* crystal system: tetragonal
* E above lowest polymorph: 0.000 eV per formula unit

Cell lengths 9.190, 3.904, 3.904 Å; angles 90.00, 90.00, 90.00 degrees
Fractional coordinates of all 9 atoms:
Dy 0.260 0.500 0.500
Dy 0.740 0.500 0.500
O 0.143 0.500 0.000
O 0.500 0.500 0.500
O 0.857 0.000 0.500
O 0.857 0.500 0.000
O 0.143 0.000 0.500
Te 0.500 0.000 0.000
Te 0.000 0.000 0.000

No. 8
The following is a DFT calculation (PBE) of a geometry-optimized Dy2Te2O5 structure.

Computed properties:
* crystal system: tetragonal
* E above lowest polymorph: 6.734 eV per formula unit

Cell lengths 7.347, 4.154, 4.154 Å; angles 90.00, 90.00, 90.00 degrees
Fractional coordinates of all 9 atoms:
O 0.712 0.500 0.000
O 0.500 0.500 0.500
O 0.288 0.000 0.500
O 0.712 0.000 0.500
O 0.288 0.500 0.000
Te 0.797 0.500 0.500
Te 0.203 0.500 0.500
Dy 0.500 0.000 0.000
Dy 0.000 0.000 0.000

No. 9
The following is a DFT calculation (PBE) of a geometry-optimized Dy2Te5O13 structure.

Computed properties:
* crystal system: triclinic
* uncorrected energy: -6.197 eV per atom

Cell lengths 6.923, 8.554, 10.434 Å; angles 89.07, 86.95, 75.02 degrees
Fractional coordinates of all 40 atoms:
O 0.539 0.811 0.488
O 0.667 0.781 0.223
O 0.333 0.219 0.777
O 0.669 0.254 0.232
O 0.043 0.349 0.561
O 0.658 0.008 0.876
O 0.957 0.651 0.439
O 0.336 0.515 0.613
O 0.664 0.485 0.387
O 0.122 0.487 0.894
O 0.878 0.513 0.106
O 0.468 0.676 0.996
O 0.934 0.733 0.718
O 0.066 0.267 0.282
O 0.461 0.189 0.512
O 0.238 0.495 0.186
O 0.762 0.505 0.814
O 0.532 0.324 0.004
O 0.943 0.980 0.318
O 0.688 0.264 0.708
O 0.342 0.992 0.124
O 0.312 0.736 0.292
O 0.942 0.179 0.969
O 0.331 0.746 0.768
O 0.058 0.821 0.031
O 0.057 0.020 0.682
Te 0.156 0.803 0.630
Te 0.431 0.910 0.306
Te 0.844 0.197 0.370
Te 0.273 0.394 0.477
Te 0.727 0.606 0.523
Te 0.291 0.885 0.968
Te 0.874 0.656 0.896
Te 0.126 0.344 0.104
Te 0.709 0.115 0.032
Te 0.569 0.090 0.694
Dy 0.553 0.529 0.180
Dy 0.447 0.471 0.820
Dy 0.003 0.264 0.762
Dy 0.997 0.736 0.238

No. 10
The following is a DFT calculation (PBE) of a geometry-optimized DyTeO3 structure.

Computed properties:
* crystal system: trigonal
* uncorrected energy: -6.338 eV per atom

Cell lengths 5.710, 5.710, 5.710 Å; angles 65.15, 65.15, 65.15 degrees
Fractional coordinates of all 10 atoms:
Dy 0.771 0.771 0.771
Dy 0.229 0.229 0.229
O 0.818 0.373 0.102
O 0.898 0.182 0.627
O 0.627 0.898 0.182
O 0.102 0.818 0.373
O 0.373 0.102 0.818
O 0.182 0.627 0.898
Te 0.000 0.000 0.000
Te 0.500 0.500 0.500

No. 11
The following is a DFT calculation (PBE) of a geometry-optimized DyTlTeO structure.

Computed properties:
* crystal system: orthorhombic
* uncorrected energy: -5.383 eV per atom

Cell lengths 4.888, 8.152, 6.778 Å; angles 90.00, 90.00, 90.00 degrees
Fractional coordinates of all 8 atoms:
Tl 0.000 0.748 0.614
Tl 0.000 0.252 0.114
Te 0.000 0.336 0.597
Te 0.000 0.664 0.097
Dy 0.500 0.129 0.539
Dy 0.500 0.871 0.039
O 0.500 0.935 0.741
O 0.500 0.065 0.241

No. 12
The following is a DFT calculation (PBE) of a geometry-optimized DyYTeO2 structure.

Computed properties:
* crystal system: tetragonal
* E above lowest polymorph: 0.000 eV per formula unit

Cell lengths 6.806, 6.806, 6.806 Å; angles 146.55, 146.55, 48.04 degrees
Fractional coordinates of all 5 atoms:
Te 0.000 0.000 0.000
O 0.250 0.750 0.500
O 0.750 0.250 0.500
Dy 0.337 0.337 0.000
Y 0.662 0.662 0.000